# 1
## LaTb2Y2Ho (PBE-GGA)

Data for LaTb2Y2Ho after structural relaxation.

Cell lengths 3.4087, 6.5664, 17.9478 Å; angles 90.00, 90.00, 90.00 degrees
With the nearest neighbours (Å) after each atom.
Fractional positions:
Y: 0.0000 0.7808 0.8127  4 Tb 3.34-3.43, 2 Y 3.41, 1 La 3.66
Tb: 0.5000 0.2161 0.3531  1 La 3.23, 4 Y 3.34-3.43, 2 Tb 3.41, 2 Ho 3.44
Tb: 0.0000 0.7161 0.1469  1 La 3.23, 4 Y 3.34-3.43, 2 Tb 3.41, 2 Ho 3.44
La: 0.5000 0.5000 0.5000  2 Tb 3.23, 2 La 3.41
La: 0.0000 0.0000 0.0000  2 Tb 3.23, 2 La 3.41
Tb: 0.5000 0.7839 0.6469  1 La 3.23, 4 Y 3.34-3.43, 2 Tb 3.41, 2 Ho 3.44
Y: 0.5000 0.2808 0.6873  4 Tb 3.34-3.43, 2 Y 3.41, 1 La 3.66
Tb: 0.0000 0.2839 0.8531  1 La 3.23, 4 Y 3.34-3.43, 2 Tb 3.41, 2 Ho 3.44
Ho: 0.0000 0.0000 0.5000  2 Ho 3.41, 4 Tb 3.44, 4 La 3.70
Y: 0.0000 0.2192 0.1873  4 Tb 3.34-3.43, 2 Y 3.41, 1 La 3.66
Ho: 0.5000 0.5000 0.0000  2 Ho 3.41, 4 Tb 3.44, 4 La 3.70
Y: 0.5000 0.7192 0.3127  4 Tb 3.34-3.43, 2 Y 3.41, 1 La 3.66

=====

# 2
## LaTb2YHo (PBE-GGA)

Data for LaTb2YHo after structural relaxation.

Cell lengths 7.2563, 8.4579, 7.1670 Å; angles 126.16, 90.00, 90.00 degrees
With the nearest neighbours (Å) after each atom.
Fractional positions:
Y: 0.2500 0.0020 0.0039  1 La 3.13, 4 Tb 3.19, 1 Ho 3.23
Tb: 0.0000 0.3102 0.0000  2 Y 3.19, 1 Tb 3.21, 2 Ho 3.51
Ho: 0.2500 0.2809 0.5618  1 Y 3.23, 4 Tb 3.51
Y: 0.7500 0.9980 0.9961  1 La 3.13, 4 Tb 3.19, 1 Ho 3.23
Tb: 0.0000 0.6898 0.0000  2 Y 3.19, 1 Tb 3.21, 2 Ho 3.51
La: 0.2500 0.7318 0.4636  1 Y 3.13
La: 0.7500 0.2682 0.5364  1 Y 3.13
Ho: 0.7500 0.7191 0.4382  1 Y 3.23, 4 Tb 3.51
Tb: 0.5000 0.3102 0.0000  2 Y 3.19, 1 Tb 3.21, 2 Ho 3.51
Tb: 0.5000 0.6898 0.0000  2 Y 3.19, 1 Tb 3.21, 2 Ho 3.51

=====

# 3
## La3Tb6Y2Ho (PBE-GGA)

Data for La3Tb6Y2Ho after structural relaxation.

Cell lengths 6.2512, 6.2512, 11.9408 Å; angles 95.01, 95.01, 120.03 degrees
With the nearest neighbours (Å) after each atom.
Fractional positions:
La: 0.8332 0.1668 0.5000  6 La 3.61, 6 Tb 3.65-3.66
Y: 0.3333 0.6667 0.0000  6 Tb 3.55, 3 Ho 3.61, 3 Y 3.61
Tb: 0.4139 0.0814 0.2446  1 Ho 3.55, 2 Y 3.55, 6 Tb 3.60-3.61, 3 La 3.65-3.66
Ho: 0.0000 0.0000 0.0000  6 Tb 3.55, 6 Y 3.61
La: 0.5000 0.5000 0.5000  6 La 3.61, 6 Tb 3.65-3.66
Tb: 0.9186 0.5861 0.7554  1 Ho 3.55, 2 Y 3.55, 6 Tb 3.60-3.61, 3 La 3.65-3.66
Y: 0.6667 0.3333 0.0000  6 Tb 3.55, 3 Ho 3.61, 3 Y 3.61
Tb: 0.5861 0.9186 0.7554  1 Ho 3.55, 2 Y 3.55, 6 Tb 3.60-3.61, 3 La 3.65-3.66
Tb: 0.0814 0.4139 0.2446  1 Ho 3.55, 2 Y 3.55, 6 Tb 3.60-3.61, 3 La 3.65-3.66
Tb: 0.2511 0.2511 0.7553  1 Ho 3.55, 2 Y 3.55, 6 Tb 3.60-3.61, 3 La 3.65-3.66
La: 0.1668 0.8332 0.5000  6 La 3.61, 6 Tb 3.65-3.66
Tb: 0.7489 0.7489 0.2447  1 Ho 3.55, 2 Y 3.55, 6 Tb 3.60-3.61, 3 La 3.65-3.66

=====

# 4
## La2TbY5Ho (PBE-GGA)

Data for La2TbY5Ho after structural relaxation.

Cell lengths 5.6820, 10.4085, 10.7282 Å; angles 90.00, 90.00, 105.84 degrees
With the nearest neighbours (Å) after each atom.
Fractional positions:
Y: 0.5193 0.0386 0.2388  2 Tb 3.17-3.29, 2 La 3.53
Y: 0.0156 0.0312 0.0215  2 Tb 3.25, 2 La 3.40-3.44
Tb: 0.4133 0.8266 0.4588  5 Y 3.09-3.29
Y: 0.7011 0.4022 0.2047  4 Y 3.45-3.79, 1 Tb 3.49, 2 Ho 3.51, 3 La 3.54-3.73
La: 0.1134 0.2269 0.7338  1 Ho 3.44, 7 Y 3.44-3.73, 2 Tb 3.77
La: 0.8851 0.7703 0.8181  8 Y 3.30-3.58, 1 Ho 3.67
Y: 0.2989 0.5978 0.7047  4 Y 3.45-3.79, 1 Tb 3.49, 2 Ho 3.51, 3 La 3.54-3.73
Y: 0.4807 0.9614 0.7388  2 Tb 3.17-3.29, 2 La 3.53
Y: 0.6168 0.2335 0.5209  4 La 3.58-3.65, 6 Y 3.59-3.89, 1 Ho 3.71
Y: 0.2795 0.5589 0.3146  1 Tb 3.09, 1 La 3.30, 2 Y 3.45
Tb: 0.5867 0.1734 0.9588  5 Y 3.09-3.29
La: 0.1149 0.2297 0.3181  8 Y 3.30-3.58, 1 Ho 3.67
Y: 0.7205 0.4411 0.8146  1 Tb 3.09, 1 La 3.30, 2 Y 3.45
Y: 0.9844 0.9688 0.5215  2 Tb 3.25, 2 La 3.40-3.44
La: 0.8866 0.7731 0.2338  1 Ho 3.44, 7 Y 3.44-3.73, 2 Tb 3.77
Ho: 0.8020 0.6040 0.5128  2 La 3.44-3.67, 7 Y 3.51-3.71, 2 Tb 3.66
Y: 0.3832 0.7665 0.0209  4 La 3.58-3.65, 6 Y 3.59-3.89, 1 Ho 3.71
Ho: 0.1980 0.3960 0.0128  2 La 3.44-3.67, 7 Y 3.51-3.71, 2 Tb 3.66

=====

# 5
## La6TbY2Ho (PBE-GGA)

Data for La6TbY2Ho after structural relaxation.

Cell lengths 9.0527, 7.1129, 6.7425 Å; angles 121.83, 102.59, 90.00 degrees
With the nearest neighbours (Å) after each atom.
Fractional positions:
La: 0.1966 0.5947 0.6323  2 La 3.15-3.52, 1 Y 3.26, 1 Tb 3.39
La: 0.8034 0.9624 0.3677  2 La 3.15-3.52, 1 Y 3.26, 1 Tb 3.39
La: 0.1966 0.0376 0.6323  2 La 3.15-3.52, 1 Y 3.26, 1 Tb 3.39
Ho: 0.0000 0.5000 0.0000  10 La 3.67-3.93, 4 Y 3.89
La: 0.5702 0.3664 0.7328  5 La 3.60-3.83, 1 Ho 3.80, 2 Tb 3.99
Tb: 0.5000 0.0000 0.0000  4 La 3.39, 2 Y 3.39
Y: 0.1680 0.0855 0.1711  1 Y 3.17, 4 La 3.26-3.53, 1 Tb 3.39
Y: 0.8320 0.9145 0.8289  1 Y 3.17, 4 La 3.26-3.53, 1 Tb 3.39
La: 0.4298 0.6336 0.2672  5 La 3.60-3.83, 1 Ho 3.80, 2 Tb 3.99
La: 0.8034 0.4053 0.3677  2 La 3.15-3.52, 1 Y 3.26, 1 Tb 3.39

=====

# 6
## La2TbY2Ho2 (PBE-GGA)

Data for La2TbY2Ho2 after structural relaxation.

Cell lengths 3.5319, 6.1770, 11.9366 Å; angles 72.11, 90.00, 106.61 degrees
With the nearest neighbours (Å) after each atom.
Fractional positions:
Y: 0.5474 0.0949 0.2319  3 Ho 3.52-3.61, 2 Y 3.53, 2 Tb 3.54, 4 La 3.57-3.68
Ho: 0.2284 0.4568 0.6325  4 Ho 3.51-3.53, 3 Y 3.52-3.61, 3 Tb 3.54-3.56, 2 La 3.68
Y: 0.4526 0.9051 0.7681  3 Ho 3.52-3.61, 2 Y 3.53, 2 Tb 3.54, 4 La 3.57-3.68
La: 0.6719 0.3438 0.9156  5 La 3.53-3.92, 4 Y 3.57-3.68, 2 Ho 3.68
Ho: 0.7716 0.5432 0.3675  4 Ho 3.51-3.53, 3 Y 3.52-3.61, 3 Tb 3.54-3.56, 2 La 3.68
Tb: 0.0000 0.0000 0.5000  2 Tb 3.53, 4 Y 3.54, 6 Ho 3.54-3.56
La: 0.3281 0.6562 0.0844  5 La 3.53-3.92, 4 Y 3.57-3.68, 2 Ho 3.68

=====

# 7
## LaTbYHo (PBE-GGA)

Data for LaTbYHo after structural relaxation.

Computed properties:
Energy relative to the lowest polymorph listed for this composition: 0 meV/atom

Cell lengths 5.7475, 5.7475, 5.7475 Å; angles 60.00, 60.00, 60.00 degrees
With the nearest neighbours (Å) after each atom.
Fractional positions:
Y: 0.2500 0.2500 0.2500  4 Tb 3.52, 4 La 3.52
Tb: 0.5000 0.5000 0.5000  4 Ho 3.52, 4 Y 3.52
Ho: 0.7500 0.7500 0.7500  4 La 3.52, 4 Tb 3.52
La: 0.0000 0.0000 0.0000  4 Y 3.52, 4 Ho 3.52

=====

# 8
## LaTb2YHo2 (PBE-GGA)

Data for LaTb2YHo2 after structural relaxation.

Cell lengths 3.5354, 16.2065, 6.9510 Å; angles 90.00, 90.00, 90.00 degrees
With the nearest neighbours (Å) after each atom.
Fractional positions:
Tb: 0.0000 0.6588 0.7510  4 Ho 3.47-3.48, 2 Tb 3.54, 2 Y 3.57, 2 La 3.58
Tb: 0.5000 0.1588 0.7490  4 Ho 3.47-3.48, 2 Tb 3.54, 2 Y 3.57, 2 La 3.58
Y: 0.0000 0.0000 0.5000  2 La 3.48, 2 Y 3.54, 4 Ho 3.55, 4 Tb 3.57
Ho: 0.5000 0.8432 0.7498  4 Tb 3.47-3.48, 2 Ho 3.54, 2 Y 3.55, 2 La 3.55
La: 0.5000 0.5000 0.5000  2 Y 3.48, 2 La 3.54, 4 Ho 3.55, 4 Tb 3.58
Tb: 0.5000 0.8412 0.2510  4 Ho 3.47-3.48, 2 Tb 3.54, 2 Y 3.57, 2 La 3.58
Ho: 0.0000 0.6568 0.2498  4 Tb 3.47-3.48, 2 Ho 3.54, 2 Y 3.55, 2 La 3.55
Tb: 0.0000 0.3412 0.2490  4 Ho 3.47-3.48, 2 Tb 3.54, 2 Y 3.57, 2 La 3.58
Ho: 0.0000 0.3432 0.7502  4 Tb 3.47-3.48, 2 Ho 3.54, 2 Y 3.55, 2 La 3.55
La: 0.0000 0.0000 0.0000  2 Y 3.48, 2 La 3.54, 4 Ho 3.55, 4 Tb 3.58
Ho: 0.5000 0.1568 0.2502  4 Tb 3.47-3.48, 2 Ho 3.54, 2 Y 3.55, 2 La 3.55
Y: 0.5000 0.5000 0.0000  2 La 3.48, 2 Y 3.54, 4 Ho 3.55, 4 Tb 3.57

=====

# 9
## La3Tb2Y6Ho (PBE-GGA)

Data for La3Tb2Y6Ho after structural relaxation.

Cell lengths 6.2605, 6.2605, 11.9075 Å; angles 95.02, 95.02, 120.01 degrees
With the nearest neighbours (Å) after each atom.
Fractional positions:
Y: 0.9187 0.5855 0.7553  1 Ho 3.55, 2 Tb 3.55, 6 Y 3.61-3.62, 3 La 3.65
La: 0.8333 0.1667 0.5000  6 La 3.61-3.62, 6 Y 3.65
Y: 0.7482 0.7482 0.2447  1 Ho 3.55, 2 Tb 3.55, 6 Y 3.61-3.62, 3 La 3.65
Tb: 0.6666 0.3334 0.0000  6 Y 3.55, 3 Tb 3.61, 3 Ho 3.61-3.62
Y: 0.2518 0.2518 0.7553  1 Ho 3.55, 2 Tb 3.55, 6 Y 3.61-3.62, 3 La 3.65
Tb: 0.3334 0.6666 0.0000  6 Y 3.55, 3 Tb 3.61, 3 Ho 3.61-3.62
La: 0.5000 0.5000 0.5000  6 La 3.61, 6 Y 3.65
Y: 0.5855 0.9187 0.7553  1 Ho 3.55, 2 Tb 3.55, 6 Y 3.61-3.62, 3 La 3.65
Y: 0.0813 0.4145 0.2447  1 Ho 3.55, 2 Tb 3.55, 6 Y 3.61-3.62, 3 La 3.65
Ho: 0.0000 0.0000 0.0000  6 Y 3.55, 6 Tb 3.61-3.62
Y: 0.4145 0.0813 0.2447  1 Ho 3.55, 2 Tb 3.55, 6 Y 3.61-3.62, 3 La 3.65
La: 0.1667 0.8333 0.5000  6 La 3.61-3.62, 6 Y 3.65

=====

# 10
## LaTbYHo (PBE-GGA)

Data for LaTbYHo after structural relaxation.

Computed properties:
Energy relative to the lowest polymorph listed for this composition: 1 meV/atom

Cell lengths 3.8086, 5.8939, 6.9103 Å; angles 115.24, 73.86, 90.00 degrees
With the nearest neighbours (Å) after each atom.
Fractional positions:
La: 0.4009 0.1414 0.2829  4 Ho 3.47-3.55, 2 Tb 3.57-3.71, 2 Y 3.58-3.70, 2 La 3.81
Ho: 0.9198 0.6407 0.2814  2 Tb 3.40-3.44, 2 Y 3.40-3.46, 4 La 3.47-3.55
Y: 0.1929 0.8807 0.7613  2 Ho 3.40-3.46, 4 Tb 3.52, 2 La 3.58-3.70
Tb: 0.6723 0.4019 0.8038  2 Ho 3.40-3.44, 4 Y 3.52, 2 La 3.57-3.71

=====

# 11
## LaTb6YHo2 (PBE-GGA)

Data for LaTb6YHo2 after structural relaxation.

Cell lengths 9.5574, 8.8314, 8.8314 Å; angles 117.55, 93.23, 93.23 degrees
With the nearest neighbours (Å) after each atom.
Fractional positions:
Tb: 0.8823 0.2922 0.5123  4 Tb 3.22-3.52, 3 Ho 3.28-3.45, 2 Y 3.44-3.54
Tb: 0.9430 0.8787 0.2484  7 Tb 3.41-3.76, 1 Ho 3.53, 1 La 3.74
Tb: 0.4430 0.2484 0.8787  7 Tb 3.41-3.76, 1 Ho 3.53, 1 La 3.74
Ho: 0.0485 0.3048 0.2002  6 Tb 3.28-3.55, 2 La 3.40-3.49, 1 Y 3.54
Tb: 0.1805 0.5598 0.0161  3 Tb 3.22-3.56, 2 Ho 3.44-3.55, 1 Y 3.48, 1 La 3.59
Ho: 0.4515 0.7998 0.6952  6 Tb 3.28-3.55, 2 La 3.40-3.49, 1 Y 3.54
Tb: 0.0570 0.1213 0.7516  7 Tb 3.41-3.76, 1 Ho 3.53, 1 La 3.74
Ho: 0.9515 0.6952 0.7998  6 Tb 3.28-3.55, 2 La 3.40-3.49, 1 Y 3.54
Ho: 0.5485 0.2002 0.3048  6 Tb 3.28-3.55, 2 La 3.40-3.49, 1 Y 3.54
La: 0.2500 0.9702 0.0298  4 Ho 3.40-3.49, 4 Tb 3.59-3.74
Tb: 0.6805 0.0161 0.5598  3 Tb 3.22-3.56, 2 Ho 3.44-3.55, 1 Y 3.48, 1 La 3.59
Tb: 0.1177 0.7078 0.4877  4 Tb 3.22-3.52, 3 Ho 3.28-3.45, 2 Y 3.44-3.54
Tb: 0.5570 0.7516 0.1213  7 Tb 3.41-3.76, 1 Ho 3.53, 1 La 3.74
La: 0.7500 0.0298 0.9702  4 Ho 3.40-3.49, 4 Tb 3.59-3.74
Tb: 0.8195 0.4402 0.9839  3 Tb 3.22-3.56, 2 Ho 3.44-3.55, 1 Y 3.48, 1 La 3.59
Y: 0.7500 0.5903 0.4097  6 Tb 3.44-3.54, 2 Ho 3.54
Tb: 0.6177 0.4877 0.7078  4 Tb 3.22-3.52, 3 Ho 3.28-3.45, 2 Y 3.44-3.54
Tb: 0.3195 0.9839 0.4402  3 Tb 3.22-3.56, 2 Ho 3.44-3.55, 1 Y 3.48, 1 La 3.59
Tb: 0.3823 0.5123 0.2922  4 Tb 3.22-3.52, 3 Ho 3.28-3.45, 2 Y 3.44-3.54
Y: 0.2500 0.4097 0.5903  6 Tb 3.44-3.54, 2 Ho 3.54

=====

# 12
## La2Tb4Y2Ho (PBE-GGA)

Data for La2Tb4Y2Ho after structural relaxation.

Cell lengths 3.6343, 9.5924, 9.6427 Å; angles 115.19, 90.00, 100.92 degrees
With the nearest neighbours (Å) after each atom.
Fractional positions:
La: 0.3350 0.6700 0.0001  3 Tb 3.57-3.60, 2 Ho 3.60, 3 Y 3.61-3.63, 4 La 3.63-3.68
Tb: 0.1855 0.3709 0.3369  3 Y 3.52-3.65, 6 Tb 3.53-3.63, 1 Ho 3.59, 2 La 3.60
Ho: 0.0000 0.0000 0.0000  6 Tb 3.58-3.59, 4 La 3.60, 2 Ho 3.63
Tb: 0.4804 0.9609 0.6652  4 Y 3.53-3.63, 5 Tb 3.57-3.63, 1 La 3.57, 2 Ho 3.58
Y: 0.8535 0.7070 0.3378  7 Tb 3.52-3.65, 3 La 3.61-3.63, 2 Y 3.63
Y: 0.1465 0.2930 0.6622  7 Tb 3.52-3.65, 3 La 3.61-3.63, 2 Y 3.63
La: 0.6650 0.3300 0.9999  3 Tb 3.57-3.60, 2 Ho 3.60, 3 Y 3.61-3.63, 4 La 3.63-3.68
Tb: 0.5196 0.0391 0.3348  4 Y 3.53-3.63, 5 Tb 3.57-3.63, 1 La 3.57, 2 Ho 3.58
Tb: 0.8145 0.6291 0.6631  3 Y 3.52-3.65, 6 Tb 3.53-3.63, 1 Ho 3.59, 2 La 3.60

=====

| no. | formation enthalpy at 0 K (eV per atom) | N(E_F) (states/eV per cell) |
| --- | --- | --- |
| 1 | 0.26 | 20.40 |
| 2 | 0.37 | 14.60 |
| 3 | 0.02 | 17.74 |
| 4 | 0.14 | 25.05 |
| 5 | 0.19 | 18.55 |
| 6 | 0.08 | 11.78 |
| 7 | 0.11 | 7.37 |
| 8 | 0.17 | 18.43 |
| 9 | 0.02 | 17.06 |
| 10 | 0.11 | 8.18 |
| 11 | 0.12 | 30.11 |
| 12 | 0.00 | 12.95 |